Ta2V2In | GGA-PBE | relaxed

POSCAR file:
```
Ta2V2In
1.0
7.261 0.000 0.000
0.000 7.261 0.000
0.000 0.000 3.275
In Ta V
2 4 4
direct
0.000 0.000 0.000 In
0.500 0.500 0.000 In
0.192 0.692 0.500 Ta
0.692 0.808 0.500 Ta
0.808 0.308 0.500 Ta
0.308 0.192 0.500 Ta
0.395 0.895 0.000 V
0.895 0.605 0.000 V
0.605 0.105 0.000 V
0.105 0.395 0.000 V
```

- DFT formation energy (eV per atom) = 0.220
- space-group type = No. 127
- ρ (g cm⁻³) = 11.1